1.
Al2SiNi | meta-GGA SCAN | PBEsol geometry

Calculated volume, Å³ per cell: 113.5
Relative energy among the computed polymorphs, eV per atom: 0.108

a = 2.593 Å, b = 4.133 Å, c = 10.594 Å
α = 90.00°, β = 90.00°, γ = 90.00°
Space group Imm2 (No. 44)
Unique sites:
Al 0.000 0.000 0.000 (multiplicity 2)
Al 0.000 0.500 0.205 (multiplicity 2)
Si 0.000 0.000 0.392 (multiplicity 2)
Ni 0.000 0.500 0.703 (multiplicity 2)

***

2.
MnIrN2O | meta-GGA SCAN | PBEsol geometry

Calculated volume, Å³ per cell: 47.5
Total DFT energy (no corrections), eV/cell: -109.27

a = 3.712 Å, b = 3.712 Å, c = 3.450 Å
α = 90.00°, β = 90.00°, γ = 90.00°
Space group P4/mmm (No. 123)
Unique sites:
Mn 0.000 0.000 0.000 (multiplicity 1)
Ir 0.500 0.500 0.500 (multiplicity 1)
N 0.000 0.500 0.000 (multiplicity 2)
O 0.000 0.000 0.500 (multiplicity 1)

***

3.
Na2ScCdS | meta-GGA SCAN | PBEsol geometry

Calculated volume, Å³ per cell: 128.7
Total DFT energy (no corrections), eV/cell: -65.47

a = 5.135 Å, b = 5.135 Å, c = 4.882 Å
α = 90.00°, β = 90.00°, γ = 90.00°
Space group P4/mmm (No. 123)
Unique sites:
Na 0.000 0.500 0.000 (multiplicity 2)
Sc 0.000 0.000 0.500 (multiplicity 1)
Cd 0.500 0.500 0.500 (multiplicity 1)
S 0.000 0.000 0.000 (multiplicity 1)

***

4.
ZnCoIr2 | meta-GGA SCAN | PBEsol geometry

Calculated volume, Å³ per cell: 51.7
Total DFT energy (no corrections), eV/cell: -173.04

a = 2.692 Å, b = 2.692 Å, c = 7.131 Å
α = 90.00°, β = 90.00°, γ = 90.00°
Space group P4mm (No. 99)
Unique sites:
Zn 0.000 0.000 0.000 (multiplicity 1)
Co 0.500 0.500 0.236 (multiplicity 1)
Ir 0.000 0.000 0.471 (multiplicity 1)
Ir 0.500 0.500 0.734 (multiplicity 1)

***

5.
LaFe2Cl | meta-GGA SCAN | PBEsol geometry

Calculated volume, Å³ per cell: 76.5
Total DFT energy (no corrections), eV/cell: -88.33

a = 3.213 Å, b = 3.213 Å, c = 7.408 Å
α = 90.00°, β = 90.00°, γ = 90.00°
Space group P4mm (No. 99)
Unique sites:
La 0.000 0.000 0.000 (multiplicity 1)
Fe 0.000 0.000 0.597 (multiplicity 1)
Fe 0.500 0.500 0.717 (multiplicity 1)
Cl 0.500 0.500 0.258 (multiplicity 1)

***

6.
SrCdIn4 | meta-GGA SCAN | PBEsol geometry

Calculated volume, Å³ per cell: 652.5
Total DFT energy (no corrections), eV/cell: -749.31

a = 8.674 Å, b = 8.674 Å, c = 8.674 Å
α = 90.00°, β = 90.00°, γ = 90.00°
Space group F-43m (No. 216)
Unique sites:
Sr 0.000 0.000 0.000 (multiplicity 4)
Cd 0.250 0.250 0.250 (multiplicity 4)
In 0.125 0.125 0.625 (multiplicity 16)

***

7.
Li2ScSn2 | meta-GGA SCAN | PBEsol geometry

Calculated volume, Å³ per cell: 204.7
Total DFT energy (no corrections), eV/cell: -186.24

a = 4.017 Å, b = 4.017 Å, c = 12.685 Å
α = 90.00°, β = 90.00°, γ = 90.00°
Space group I4/mmm (No. 139)
Unique sites:
Li 0.000 0.500 0.250 (multiplicity 4)
Sc 0.000 0.000 0.000 (multiplicity 2)
Sn 0.000 0.000 0.393 (multiplicity 4)

***

8.
CdBiRuI2 | meta-GGA SCAN | PBEsol geometry

Calculated volume, Å³ per cell: 195.0
Total DFT energy (no corrections), eV/cell: -213.31

a = 6.131 Å, b = 6.131 Å, c = 5.189 Å
α = 90.00°, β = 90.00°, γ = 90.00°
Space group P4/mmm (No. 123)
Unique sites:
Cd 0.000 0.000 0.000 (multiplicity 1)
Bi 0.500 0.500 0.500 (multiplicity 1)
Ru 0.500 0.500 0.000 (multiplicity 1)
I 0.000 0.500 0.500 (multiplicity 2)

***

9.
TlCr3Ga | meta-GGA SCAN | PBEsol geometry

Calculated volume, Å³ per cell: 96.3
Total DFT energy (no corrections), eV/cell: -139.74

a = 4.583 Å, b = 4.583 Å, c = 4.583 Å
α = 90.00°, β = 90.00°, γ = 90.00°
Space group Pm-3m (No. 221)
Unique sites:
Tl 0.000 0.000 0.000 (multiplicity 1)
Cr 0.000 0.500 0.500 (multiplicity 3)
Ga 0.500 0.500 0.500 (multiplicity 1)

***

10.
Fe2AgBr | meta-GGA SCAN | PBEsol geometry

Calculated volume, Å³ per cell: 63.1
Relative energy among the computed polymorphs, eV per atom: 0.122

a = 3.264 Å, b = 4.395 Å, c = 4.399 Å
α = 90.00°, β = 90.00°, γ = 90.00°
Space group Pmmm (No. 47)
Unique sites:
Fe 0.000 0.000 0.000 (multiplicity 1)
Fe 0.500 0.000 0.500 (multiplicity 1)
Ag 0.000 0.500 0.500 (multiplicity 1)
Br 0.500 0.500 0.000 (multiplicity 1)

***

11.
AgGe3Cl | meta-GGA SCAN | PBEsol geometry

Calculated volume, Å³ per cell: 122.9
Total DFT energy (no corrections), eV/cell: -93.20

a = 4.972 Å, b = 4.972 Å, c = 4.972 Å
α = 90.00°, β = 90.00°, γ = 90.00°
Space group Pm-3m (No. 221)
Unique sites:
Ag 0.000 0.000 0.000 (multiplicity 1)
Ge 0.000 0.000 0.500 (multiplicity 3)
Cl 0.500 0.500 0.500 (multiplicity 1)

***

12.
SrTi3Pd | meta-GGA SCAN | PBEsol geometry

Calculated volume, Å³ per cell: 116.1
Total DFT energy (no corrections), eV/cell: -101.02

a = 4.878 Å, b = 4.878 Å, c = 4.878 Å
α = 90.00°, β = 90.00°, γ = 90.00°
Space group Pm-3m (No. 221)
Unique sites:
Sr 0.000 0.000 0.000 (multiplicity 1)
Ti 0.000 0.500 0.500 (multiplicity 3)
Pd 0.500 0.500 0.500 (multiplicity 1)

***

13.
Zr5Ag | meta-GGA SCAN | PBEsol geometry

Calculated volume, Å³ per cell: 251.8
Relative energy among the computed polymorphs, eV per atom: 0.056

a = 4.403 Å, b = 13.359 Å, c = 4.281 Å
α = 90.00°, β = 90.00°, γ = 90.00°
Space group Cmmm (No. 65)
Unique sites:
Zr 0.000 0.000 0.000 (multiplicity 2)
Zr 0.000 0.166 0.500 (multiplicity 4)
Zr 0.000 0.337 0.000 (multiplicity 4)
Ag 0.000 0.500 0.500 (multiplicity 2)

***

14.
MgSc2In | meta-GGA SCAN | PBEsol geometry

Calculated volume, Å³ per cell: 178.2
Relative energy among the computed polymorphs, eV per atom: 0.115

a = 3.463 Å, b = 4.996 Å, c = 10.298 Å
α = 90.00°, β = 90.00°, γ = 90.00°
Space group Imm2 (No. 44)
Unique sites:
Mg 0.000 0.000 0.000 (multiplicity 2)
Sc 0.000 0.000 0.482 (multiplicity 2)
Sc 0.000 0.500 0.239 (multiplicity 2)
In 0.000 0.500 0.728 (multiplicity 2)

***

15.
LiCrPb | meta-GGA SCAN | PBEsol geometry

Calculated volume, Å³ per cell: 227.6
Relative energy among the computed polymorphs, eV per atom: 0.000

a = 6.105 Å, b = 6.105 Å, c = 6.105 Å
α = 90.00°, β = 90.00°, γ = 90.00°
Space group F-43m (No. 216)
Unique sites:
Li 0.000 0.000 0.000 (multiplicity 4)
Cr 0.250 0.250 0.250 (multiplicity 4)
Pb 0.250 0.250 0.750 (multiplicity 4)

***

16.
TlAs2HBr | meta-GGA SCAN | PBEsol geometry

Calculated volume, Å³ per cell: 166.3
Total DFT energy (no corrections), eV/cell: -129.95

a = 5.362 Å, b = 5.362 Å, c = 5.784 Å
α = 90.00°, β = 90.00°, γ = 90.00°
Space group P4/mmm (No. 123)
Unique sites:
Tl 0.000 0.000 0.000 (multiplicity 1)
As 0.000 0.500 0.000 (multiplicity 2)
H 0.500 0.500 0.500 (multiplicity 1)
Br 0.000 0.000 0.500 (multiplicity 1)

***

17.
Na2YHC2O7 | meta-GGA SCAN | PBEsol geometry

Calculated volume, Å³ per cell: 1194.1
Total DFT energy (no corrections), eV/cell: -1053.25

a = 17.550 Å, b = 6.107 Å, c = 11.212 Å
α = 90.00°, β = 96.45°, γ = 90.00°
Space group C2/c (No. 15)
Unique sites:
Na 0.110 0.096 0.383 (multiplicity 8)
Na 0.233 0.092 0.145 (multiplicity 8)
Y 0.061 0.344 0.632 (multiplicity 8)
H 0.100 0.355 0.884 (multiplicity 8)
C 0.065 0.203 0.117 (multiplicity 8)
C 0.207 0.425 0.576 (multiplicity 8)
O 0.006 0.313 0.067 (multiplicity 8)
O 0.062 0.272 0.829 (multiplicity 8)
O 0.080 0.009 0.084 (multiplicity 8)
O 0.109 0.301 0.201 (multiplicity 8)
O 0.147 0.436 0.494 (multiplicity 8)
O 0.198 0.310 0.672 (multiplicity 8)
O 0.231 0.026 0.937 (multiplicity 8)

***

18.
AlZnCl2 | meta-GGA SCAN | PBEsol geometry

Calculated volume, Å³ per cell: 171.6
Relative energy among the computed polymorphs, eV per atom: 0.000

a = 3.311 Å, b = 6.020 Å, c = 8.609 Å
α = 90.00°, β = 90.00°, γ = 90.00°
Space group Cmm2 (No. 35)
Unique sites:
Al 0.000 0.000 0.000 (multiplicity 2)
Zn 0.000 0.500 0.772 (multiplicity 2)
Cl 0.000 0.000 0.585 (multiplicity 2)
Cl 0.000 0.500 0.198 (multiplicity 2)

***

19.
NdB4 | meta-GGA SCAN | PBEsol geometry

Calculated volume, Å³ per cell: 211.5
Relative energy among the computed polymorphs, eV per atom: 0.000

a = 7.193 Å, b = 7.193 Å, c = 4.087 Å
α = 90.00°, β = 90.00°, γ = 90.00°
Space group P4/mbm (No. 127)
Unique sites:
Nd 0.184 0.316 0.000 (multiplicity 4)
B 0.000 0.000 0.205 (multiplicity 4)
B 0.039 0.825 0.500 (multiplicity 8)
B 0.088 0.588 0.500 (multiplicity 4)

***

20.
Y2Cu5Ni5 | meta-GGA SCAN | PBEsol geometry

Calculated volume, Å³ per cell: 162.2
Total DFT energy (no corrections), eV/cell: -215.81

a = 3.909 Å, b = 4.907 Å, c = 8.456 Å
α = 90.00°, β = 90.00°, γ = 90.00°
Space group Pmmm (No. 47)
Unique sites:
Y 0.000 0.000 0.000 (multiplicity 1)
Y 0.000 0.500 0.500 (multiplicity 1)
Cu 0.000 0.000 0.330 (multiplicity 2)
Cu 0.000 0.500 0.167 (multiplicity 2)
Cu 0.500 0.000 0.500 (multiplicity 1)
Ni 0.500 0.251 0.249 (multiplicity 4)
Ni 0.500 0.500 0.000 (multiplicity 1)